[1]
The following is a DFT calculation (GGA-PBE) of an optimized crystal structure of CaAl2Ga.

Lattice parameters (Å, degrees): 4.279 4.279 4.346 90.00 90.00 90.00
Atoms (fractional coordinates):
1 Ca 0.000 0.000 0.000
2 Al 0.000 0.500 0.500
3 Al 0.500 0.000 0.500
4 Ga 0.500 0.500 0.000

Computed properties:
- Space-group type: P4/mmm, No. 123
- N(E_F): 1.48 states/eV per cell
- Formation energy: -0.19 eV per atom

[2]
The following is a DFT calculation (GGA-PBE) of an optimized crystal structure of Ba6Pt2SBr3.

Lattice parameters (Å, degrees): 8.003 8.003 8.586 98.96 98.96 119.99
Atoms (fractional coordinates):
1 Ba 0.093 0.430 0.788
2 Ba 0.234 0.234 0.212
3 Ba 0.430 0.093 0.788
4 Ba 0.570 0.907 0.212
5 Ba 0.766 0.766 0.788
6 Ba 0.907 0.570 0.212
7 Pt 0.167 0.833 0.000
8 Pt 0.833 0.167 0.000
9 S 0.500 0.500 0.000
10 Br 0.000 0.000 0.500
11 Br 0.337 0.663 0.500
12 Br 0.663 0.337 0.500

Computed properties:
- Space-group type: C2/m, No. 12
- N(E_F): 9.70 states/eV per cell
- Uncorrected formation energy: -1459 meV per atom

[3]
The following is a DFT calculation (GGA-PBE) of an optimized crystal structure of HRuW2Cl.

Lattice parameters (Å, degrees): 4.790 4.790 4.909 90.00 90.00 90.00
Atoms (fractional coordinates):
1 H 0.000 0.000 0.000
2 Ru 0.500 0.500 0.500
3 W 0.000 0.500 0.500
4 W 0.500 0.000 0.500
5 Cl 0.500 0.500 0.000

Computed properties:
- Space-group type: P4/mmm, No. 123
- DFT total energy: -29.18 eV for the cell shown
- N(E_F): 5.46 states/eV per cell

[4]
The following is a DFT calculation (GGA-PBE) of an optimized crystal structure of Er5TlSb2.

Lattice parameters (Å, degrees): 6.389 6.389 14.590 90.00 90.00 127.59
Atoms (fractional coordinates):
1 Er 0.073 0.927 0.598
2 Er 0.073 0.927 0.902
3 Er 0.379 0.621 0.550
4 Er 0.379 0.621 0.950
5 Er 0.412 0.588 0.250
6 Er 0.588 0.412 0.750
7 Er 0.621 0.379 0.050
8 Er 0.621 0.379 0.450
9 Er 0.927 0.073 0.098
10 Er 0.927 0.073 0.402
11 Tl 0.296 0.704 0.750
12 Tl 0.704 0.296 0.250
13 Sb 0.204 0.796 0.109
14 Sb 0.204 0.796 0.391
15 Sb 0.796 0.204 0.609
16 Sb 0.796 0.204 0.891

Computed properties:
- Space-group type: Cmcm, No. 63
- N(E_F): 16.13 states/eV per cell
- Uncorrected formation energy: -344 meV per atom

[5]
The following is a DFT calculation (GGA-PBE) of an optimized crystal structure of ZnSb2Pt.

Lattice parameters (Å, degrees): 3.302 3.302 7.884 90.00 90.00 90.00
Atoms (fractional coordinates):
1 Zn 0.000 0.000 0.000
2 Sb 0.500 0.500 0.277
3 Sb 0.500 0.500 0.723
4 Pt 0.000 0.000 0.500

Computed properties:
- Space-group type: P4/mmm, No. 123
- N(E_F): 1.49 states/eV per cell
- Uncorrected formation energy: 12 meV per atom

[6]
The following is a DFT calculation (GGA-PBE) of an optimized crystal structure of LaAlRe2.

Lattice parameters (Å, degrees): 3.236 4.651 5.657 90.00 97.45 90.00
Atoms (fractional coordinates):
1 La 0.000 0.000 0.000
2 Al 0.500 0.000 0.500
3 Re 0.299 0.500 0.662
4 Re 0.701 0.500 0.338

Computed properties:
- Space-group type: P2/m, No. 10
- N(E_F): 3.26 states/eV per cell
- Formation energy: 0.38 eV per atom

What did the second record say?
The following is a DFT calculation (GGA-PBE) of an optimized crystal structure of Ba6Pt2SBr3.

Lattice parameters (Å, degrees): 8.003 8.003 8.586 98.96 98.96 119.99
Atoms (fractional coordinates):
1 Ba 0.093 0.430 0.788
2 Ba 0.234 0.234 0.212
3 Ba 0.430 0.093 0.788
4 Ba 0.570 0.907 0.212
5 Ba 0.766 0.766 0.788
6 Ba 0.907 0.570 0.212
7 Pt 0.167 0.833 0.000
8 Pt 0.833 0.167 0.000
9 S 0.500 0.500 0.000
10 Br 0.000 0.000 0.500
11 Br 0.337 0.663 0.500
12 Br 0.663 0.337 0.500

Computed properties:
- Space-group type: C2/m, No. 12
- N(E_F): 9.70 states/eV per cell
- Uncorrected formation energy: -1459 meV per atom

Question: Look up the N(E_F) of the second one.
Answer: 9.70 states/eV per cell

Question: What is the N(E_F) in the fifth record?
Answer: 1.49 states/eV per cell

Question: Which of these has the lowest N(E_F)?
Answer: CaAl2Ga